No. 1
This record from Alexandria describes a geometry-optimized LaSb2TeF structure. The functional is PBE-GGA.

Cell: 4.7497 4.7497 5.7877 Å, 90.00 90.00 90.00°
With the nearest neighbours (Å) after each atom.
Element x y z (fractional)
La (0.0000, 0.0000, 0.0000)  4 Te 3.36, 8 Sb 3.74
Sb (0.0000, 0.5000, 0.5000)  2 F 2.37
Sb (0.5000, 0.0000, 0.5000)  2 F 2.37
Te (0.5000, 0.5000, 0.0000)  2 F 2.89
F (0.5000, 0.5000, 0.5000)  4 Sb 2.37

## Properties
For the total energy, the calculation gives -22.654 eV for the cell shown. For the volume, the calculation gives 26.11 Å³ per atom. For the raw formation energy, the calculation gives -0.8938 eV per atom. Its energy above the most stable polymorph in this dataset is 0 meV per atom. The space-group type is No. 123.

No. 2
This record from Alexandria describes a geometry-optimized LaSb2TeF structure. The functional is PBE-GGA.

Cell: 6.1657 6.1657 6.0093 Å, 90.00 90.00 90.00°
With the nearest neighbours (Å) after each atom.
Element x y z (fractional)
La (0.0000, 0.0000, 0.0000)  2 Te 3.00, 4 Sb 3.08
Sb (0.0000, 0.5000, 0.0000)  2 La 3.08
Sb (0.5000, 0.0000, 0.0000)  2 La 3.08
Te (0.0000, 0.0000, 0.5000)  2 La 3.00
F (0.5000, 0.5000, 0.5000)  8 Sb 4.30, 4 Te 4.36

## Properties
For the total energy, the calculation gives -17.356 eV for the cell shown. For the volume, the calculation gives 45.69 Å³ per atom. For the raw formation energy, the calculation gives 0.1658 eV per atom. Its energy above the most stable polymorph in this dataset is 1060 meV per atom. The space-group type is No. 123.

No. 3
This record from Alexandria describes a geometry-optimized LaTlSbF2 structure. The functional is PBE-GGA.

Cell: 4.6275 4.6275 6.7400 Å, 90.00 90.00 90.00°
With the nearest neighbours (Å) after each atom.
Element x y z (fractional)
La (0.0000, 0.0000, 0.0000)  4 F 2.31
Tl (0.5000, 0.5000, 0.5000)  4 Sb 3.27
Sb (0.0000, 0.0000, 0.5000)  4 Tl 3.27, 2 La 3.37
F (0.0000, 0.5000, 0.0000)  2 La 2.31
F (0.5000, 0.0000, 0.0000)  2 La 2.31

## Properties
For the total energy, the calculation gives -26.271 eV for the cell shown. For the volume, the calculation gives 28.87 Å³ per atom. For the raw formation energy, the calculation gives -2.2224 eV per atom. The space-group type is No. 123.

What is the formula in the first record?
LaSb2TeF

Look up the raw formation energy of the third one.
-2.2224 eV per atom

Look up the raw formation energy of the first one.
-0.8938 eV per atom

Which value of raw formation energy does entry 2 give?
0.1658 eV per atom